# Mg5HIr3 PBE optimized geometry
# E in eV/cell: -40.69
# E above lowest polymorph in eV per atom: 0.047
# Total moment in μB/atom: 0.00
# DOS(E_F) in states/eV per cell: 2.53
# Space-group type: No. 8
data_Mg5HIr3
_chemical_formula_sum 'Mg5 H1 Ir3'
_space_group_name_H-M_alt 'P 1'
_space_group_IT_number 1
_cell_length_a 7.157
_cell_length_b 5.293
_cell_length_c 4.436
_cell_angle_alpha 114.79
_cell_angle_beta 108.05
_cell_angle_gamma 82.57
loop_
_space_group_symop_operation_xyz
'x,y,z'
loop_
_atom_site_label
_atom_site_type_symbol
_atom_site_fract_x
_atom_site_fract_y
_atom_site_fract_z
_atom_site_occupancy
Mg1 Mg 0.884 0.375 0.206 1
Mg2 Mg 0.012 0.765 0.965 1
Mg3 Mg 0.330 0.766 0.625 1
Mg4 Mg 0.671 0.936 0.380 1
Mg5 Mg 0.458 0.376 0.994 1
H1 H 0.673 0.852 0.840 1
Ir1 Ir 0.269 0.181 0.302 1
Ir2 Ir 0.671 0.506 0.665 1
Ir3 Ir 0.074 0.181 0.704 1